## LiMnP4O12 (SCAN)

Data for a crystal of LiMnP4O12 relaxed with PBEsol.

a = 5.180 Å, b = 7.188 Å, c = 13.216 Å
α = 90.00°, β = 90.00°, γ = 101.20°
Positions (direct):
1 O 0.173 0.020 0.872
2 O 0.759 0.589 0.920
3 O 0.288 0.611 0.645
4 O 0.816 0.536 0.712
5 O 0.712 0.389 0.145
6 Mn 0.479 0.407 0.280
7 Mn 0.521 0.593 0.780
8 O 0.248 0.639 0.871
9 O 0.022 0.160 0.115
10 O 0.371 0.963 0.088
11 O 0.004 0.858 0.209
12 P 0.005 0.513 0.919
13 P 0.214 0.034 0.167
14 O 0.652 0.859 0.759
15 O 0.978 0.840 0.615
16 O 0.108 0.477 0.029
17 P 0.991 0.375 0.131
18 Li 0.629 0.109 0.451
19 O 0.827 0.980 0.372
20 Li 0.371 0.891 0.951
21 O 0.601 0.670 0.289
22 P 0.009 0.625 0.631
23 O 0.399 0.330 0.789
24 O 0.892 0.523 0.529
25 P 0.852 0.809 0.314
26 O 0.953 0.306 0.871
27 O 0.629 0.037 0.588
28 O 0.752 0.361 0.371
29 O 0.996 0.142 0.709
30 P 0.786 0.966 0.667
31 P 0.995 0.487 0.419
32 O 0.241 0.411 0.420
33 O 0.184 0.464 0.212
34 O 0.047 0.694 0.371
35 O 0.348 0.141 0.259
36 P 0.148 0.191 0.814

Summary:
- energy (eV per formula unit) = -179.610
- uncorrected formation energy (kJ/mol of atoms) = -228.33
- space group = P2_1, No. 4

=====

## Li3Mn2P3O12 (SCAN)

Data for a crystal of Li3Mn2P3O12 relaxed with PBEsol.

a = 8.382 Å, b = 8.564 Å, c = 12.293 Å
α = 90.00°, β = 92.59°, γ = 90.00°
Positions (direct):
1 O 0.871 0.388 0.010
2 O 0.946 0.864 0.567
3 Li 0.082 0.309 0.762
4 O 0.129 0.612 0.990
5 P 0.898 0.385 0.134
6 O 0.402 0.122 0.920
7 Li 0.582 0.591 0.196
8 Mn 0.252 0.044 0.390
9 O 0.175 0.823 0.441
10 O 0.148 0.741 0.200
11 O 0.098 0.622 0.580
12 Li 0.710 0.283 0.669
13 Mn 0.250 0.461 0.597
14 O 0.825 0.177 0.559
15 O 0.298 0.993 0.691
16 O 0.365 0.287 0.672
17 O 0.629 0.888 0.490
18 O 0.798 0.507 0.191
19 O 0.648 0.759 0.700
20 Li 0.418 0.409 0.804
21 O 0.865 0.213 0.172
22 P 0.463 0.246 0.003
23 O 0.922 0.588 0.835
24 O 0.634 0.473 0.750
25 Li 0.918 0.091 0.304
26 O 0.578 0.088 0.665
27 Li 0.918 0.691 0.238
28 O 0.576 0.180 0.096
29 O 0.424 0.820 0.904
30 Mn 0.248 0.544 0.110
31 O 0.446 0.636 0.067
32 O 0.325 0.323 0.059
33 O 0.913 0.894 0.145
34 O 0.702 0.007 0.309
35 O 0.087 0.106 0.855
36 O 0.852 0.259 0.800
37 Mn 0.748 0.956 0.610
38 O 0.680 0.538 0.558
39 O 0.902 0.378 0.420
40 O 0.078 0.412 0.165
41 Li 0.790 0.783 0.831
42 O 0.320 0.462 0.442
43 O 0.635 0.713 0.328
44 P 0.600 0.597 0.658
45 P 0.037 0.746 0.497
46 O 0.076 0.320 0.596
47 Li 0.418 0.809 0.738
48 Mn 0.250 0.961 0.903
49 O 0.054 0.136 0.433
50 O 0.675 0.677 0.941
51 P 0.900 0.097 0.842
52 O 0.134 0.027 0.250
53 O 0.924 0.680 0.404
54 O 0.587 0.394 0.355
55 P 0.400 0.403 0.342
56 O 0.371 0.112 0.510
57 O 0.598 0.878 0.080
58 P 0.537 0.754 0.997
59 Mn 0.750 0.039 0.097
60 O 0.554 0.364 0.933
61 O 0.180 0.962 0.058
62 O 0.135 0.787 0.828
63 O 0.366 0.527 0.250
64 O 0.866 0.973 0.750
65 Li 0.582 0.191 0.262
66 P 0.963 0.254 0.503
67 O 0.820 0.038 0.942
68 O 0.202 0.493 0.809
69 P 0.100 0.903 0.158
70 Li 0.082 0.909 0.696
71 Li 0.290 0.717 0.331
72 O 0.422 0.912 0.335
73 P 0.102 0.615 0.866
74 O 0.413 0.606 0.645
75 Mn 0.752 0.456 0.890
76 P 0.602 0.885 0.366
77 Li 0.210 0.217 0.169
78 Mn 0.750 0.539 0.403
79 P 0.398 0.115 0.634
80 O 0.352 0.241 0.300

Summary:
- energy (eV per formula unit) = -199.105
- uncorrected formation energy (kJ/mol of atoms) = -238.58
- space group = P2_1/c, No. 14

=====

## Li5Mn3P4O16 (SCAN)

Data for a crystal of Li5Mn3P4O16 relaxed with PBEsol.

a = 4.701 Å, b = 5.899 Å, c = 10.318 Å
α = 90.00°, β = 90.40°, γ = 90.00°
Positions (direct):
1 O 0.284 0.794 0.168
2 Mn 0.993 0.000 0.279
3 O 0.761 0.000 0.596
4 O 0.804 0.500 0.545
5 P 0.086 0.000 0.596
6 O 0.789 0.706 0.332
7 Mn 0.495 0.500 0.219
8 O 0.703 0.500 0.044
9 O 0.284 0.206 0.168
10 P 0.417 0.000 0.093
11 P 0.927 0.500 0.408
12 P 0.567 0.500 0.904
13 O 0.742 0.000 0.095
14 Li 0.507 0.256 0.511
15 Mn 0.499 0.000 0.776
16 O 0.210 0.000 0.456
17 O 0.252 0.500 0.401
18 O 0.699 0.712 0.836
19 O 0.244 0.500 0.907
20 Li 0.997 0.255 0.986
21 Li 0.507 0.744 0.511
22 O 0.789 0.294 0.332
23 O 0.225 0.205 0.668
24 O 0.225 0.795 0.668
25 O 0.699 0.288 0.836
26 Li 0.017 0.500 0.720
27 Li 0.997 0.745 0.986
28 O 0.282 0.000 0.957

Summary:
- energy (eV per formula unit) = -278.090
- DOS(E_F) (states/eV per atom) = 0.1582
- uncorrected formation energy (kJ/mol of atoms) = -241.49
- space group = Pm, No. 6

=====

## Li2MnP2O8 (SCAN)

Data for a crystal of Li2MnP2O8 relaxed with PBEsol.

a = 8.818 Å, b = 8.949 Å, c = 13.044 Å
α = 90.00°, β = 90.00°, γ = 90.00°
Positions (direct):
1 O 0.734 0.743 0.104
2 O 0.974 0.482 0.331
3 O 0.474 0.018 0.331
4 O 0.502 0.024 0.865
5 O 0.481 0.302 0.014
6 O 0.766 0.243 0.896
7 O 0.203 0.515 0.475
8 O 0.758 0.420 0.221
9 O 0.498 0.476 0.365
10 O 0.234 0.257 0.396
11 O 0.266 0.757 0.604
12 O 0.019 0.802 0.986
13 Mn 0.106 0.141 0.124
14 O 0.778 0.691 0.911
15 Li 0.455 0.772 0.126
16 Li 0.787 0.954 0.626
17 Li 0.213 0.546 0.126
18 O 0.242 0.080 0.721
19 O 0.266 0.257 0.896
20 O 0.001 0.236 0.718
21 Li 0.287 0.546 0.626
22 O 0.981 0.198 0.014
23 O 0.499 0.736 0.282
24 P 0.435 0.073 0.218
25 O 0.734 0.243 0.396
26 Mn 0.606 0.359 0.124
27 O 0.722 0.191 0.089
28 O 0.526 0.482 0.831
29 Li 0.713 0.954 0.126
30 O 0.203 0.015 0.025
31 Li 0.545 0.228 0.874
32 Li 0.545 0.728 0.626
33 P 0.186 0.843 0.011
34 O 0.002 0.976 0.635
35 O 0.242 0.580 0.779
36 O 0.501 0.264 0.718
37 P 0.565 0.427 0.718
38 O 0.519 0.198 0.514
39 Li 0.045 0.772 0.626
40 Li 0.787 0.454 0.874
41 O 0.999 0.764 0.282
42 P 0.686 0.157 0.489
43 O 0.758 0.920 0.279
44 O 0.258 0.080 0.221
45 O 0.222 0.309 0.089
46 O 0.474 0.518 0.169
47 O 0.019 0.302 0.514
48 O 0.026 0.018 0.831
49 P 0.814 0.657 0.511
50 P 0.814 0.157 0.989
51 O 0.981 0.698 0.486
52 O 0.481 0.802 0.486
53 O 0.742 0.420 0.721
54 O 0.234 0.757 0.104
55 O 0.502 0.524 0.635
56 P 0.186 0.343 0.489
57 Mn 0.394 0.141 0.624
58 Mn 0.394 0.641 0.876
59 O 0.278 0.309 0.589
60 O 0.258 0.580 0.279
61 P 0.686 0.657 0.011
62 O 0.002 0.476 0.865
63 P 0.314 0.343 0.989
64 O 0.778 0.191 0.589
65 O 0.722 0.691 0.411
66 P 0.065 0.073 0.718
67 O 0.297 0.515 0.975
68 O 0.222 0.809 0.411
69 O 0.526 0.982 0.669
70 O 0.703 0.485 0.025
71 Li 0.213 0.046 0.374
72 O 0.998 0.024 0.365
73 O 0.501 0.764 0.782
74 Li 0.955 0.728 0.126
75 O 0.797 0.485 0.525
76 O 0.001 0.736 0.782
77 O 0.974 0.982 0.169
78 P 0.565 0.927 0.782
79 Li 0.955 0.228 0.374
80 O 0.703 0.985 0.475
81 O 0.998 0.524 0.135
82 O 0.278 0.809 0.911
83 Mn 0.606 0.859 0.376
84 P 0.314 0.843 0.511
85 O 0.297 0.015 0.525
86 Mn 0.894 0.359 0.624
87 O 0.999 0.264 0.218
88 Mn 0.894 0.859 0.876
89 O 0.499 0.236 0.218
90 P 0.935 0.927 0.282
91 P 0.935 0.427 0.218
92 Mn 0.106 0.641 0.376
93 P 0.435 0.573 0.282
94 O 0.498 0.976 0.135
95 O 0.026 0.518 0.669
96 Li 0.287 0.046 0.874
97 O 0.519 0.698 0.986
98 Li 0.455 0.272 0.374
99 O 0.766 0.743 0.604
100 P 0.065 0.573 0.782
101 O 0.797 0.985 0.975
102 O 0.742 0.920 0.779
103 Li 0.045 0.272 0.874
104 Li 0.713 0.454 0.374

Summary:
- energy (eV per formula unit) = -125.410
- DOS(E_F) (states/eV per atom) = 0.0000
- uncorrected formation energy (kJ/mol of atoms) = -235.48
- space group = Pbca, No. 61